*A*
A relaxed AcSmSb2 crystal. Source: Alexandria, functional GGA-PBE.

M_tot   0.0 Bohr magnetons per cell
D(E_F)   0.137 states/eV per atom

```
data_AcSmSb2
_cell_length_a 4.6383
_cell_length_b 4.6383
_cell_length_c 22.7064
_cell_angle_alpha 90.00
_cell_angle_beta 90.00
_cell_angle_gamma 120.00
_symmetry_space_group_name_H-M 'R -3 m'
_symmetry_Int_Tables_number 166
_symmetry_space_group_name_Hall '-R 3 2"'
loop_
_atom_site_label
_atom_site_type_symbol
_atom_site_fract_x
_atom_site_fract_y
_atom_site_fract_z
Ac1 Ac 0.0000 0.0000 0.0000
Sm1 Sm 0.0000 0.0000 0.5000
Sb1 Sb 0.0000 0.0000 0.2441
```

=====

*B*
A relaxed AcSmSb2 crystal. Source: Alexandria, functional GGA-PBE.

M_tot   0.0 Bohr magnetons per cell
D(E_F)   0.080 states/eV per atom

```
data_AcSmSb2
_cell_length_a 4.5816
_cell_length_b 4.5816
_cell_length_c 23.7676
_cell_angle_alpha 90.00
_cell_angle_beta 90.00
_cell_angle_gamma 120.00
_symmetry_space_group_name_H-M 'R 3 m'
_symmetry_Int_Tables_number 160
_symmetry_space_group_name_Hall 'R 3 -2"'
loop_
_atom_site_label
_atom_site_type_symbol
_atom_site_fract_x
_atom_site_fract_y
_atom_site_fract_z
Ac1 Ac 0.0000 0.0000 0.0000
Sm1 Sm 0.0000 0.0000 0.1707
Sb1 Sb 0.0000 0.0000 0.4236
Sb2 Sb 0.0000 0.0000 0.5812
```

=====

*C*
A relaxed AcSmSb2 crystal. Source: Alexandria, functional GGA-PBE.

M_tot   0.0 Bohr magnetons per cell
D(E_F)   0.127 states/eV per atom

```
data_AcSmSb2
_cell_length_a 4.6063
_cell_length_b 4.6063
_cell_length_c 15.2847
_cell_angle_alpha 90.00
_cell_angle_beta 90.00
_cell_angle_gamma 120.00
_symmetry_space_group_name_H-M 'P 63/m m c'
_symmetry_Int_Tables_number 194
_symmetry_space_group_name_Hall '-P 6c 2c'
loop_
_atom_site_label
_atom_site_type_symbol
_atom_site_fract_x
_atom_site_fract_y
_atom_site_fract_z
Ac1 Ac 0.3333 0.6667 0.2500
Sm1 Sm 0.0000 0.0000 0.0000
Sb1 Sb 0.3333 0.6667 0.6148
```

=====

Best to worst by energy: *A*, *C*, *B*.

=====

*A*
A relaxed AcSnSb crystal. Source: Alexandria, functional GGA-PBE.

M_tot   0.0 Bohr magnetons per cell
D(E_F)   1.037 states/eV per atom

```
data_AcSnSb
_cell_length_a 7.762
_cell_length_b 7.762
_cell_length_c 7.762
_cell_angle_alpha 90.00
_cell_angle_beta 90.00
_cell_angle_gamma 90.00
_symmetry_space_group_name_H-M 'F -4 3 m'
_symmetry_Int_Tables_number 216
_symmetry_space_group_name_Hall 'F -4 2 3'
loop_
_atom_site_label
_atom_site_type_symbol
_atom_site_fract_x
_atom_site_fract_y
_atom_site_fract_z
Ac1 Ac 0.000 0.000 0.000
Sn1 Sn 0.250 0.250 0.750
Sb1 Sb 0.250 0.250 0.250
```

=====

*B*
A relaxed AcSnSb crystal. Source: Alexandria, functional GGA-PBE.

M_tot   0.0 Bohr magnetons per cell
D(E_F)   0.696 states/eV per atom

```
data_AcSnSb
_cell_length_a 5.1787
_cell_length_b 5.1787
_cell_length_c 4.2668
_cell_angle_alpha 90.00
_cell_angle_beta 90.00
_cell_angle_gamma 120.00
_symmetry_space_group_name_H-M 'P 3 m 1'
_symmetry_Int_Tables_number 156
loop_
_symmetry_equiv_pos_as_xyz
'x,y,z'
'-y,x-y,z'
'-x+y,-x,z'
'-y,-x,z'
'-x+y,y,z'
'x,x-y,z'
loop_
_atom_site_label
_atom_site_type_symbol
_atom_site_fract_x
_atom_site_fract_y
_atom_site_fract_z
Ac1 Ac 0.0000 0.0000 0.0000
Sn1 Sn 0.3333 0.6667 0.5013
Sb1 Sb 0.6667 0.3333 0.4989
```

=====

*C*
A relaxed AcSnSb crystal. Source: Alexandria, functional GGA-PBE.

M_tot   0.0 Bohr magnetons per cell
D(E_F)   0.644 states/eV per atom

```
data_AcSnSb
_cell_length_a 4.106
_cell_length_b 4.106
_cell_length_c 11.257
_cell_angle_alpha 90.00
_cell_angle_beta 90.00
_cell_angle_gamma 90.00
_symmetry_space_group_name_H-M 'I 4 m m'
_symmetry_Int_Tables_number 107
_symmetry_space_group_name_Hall 'I 4 -2'
loop_
_atom_site_label
_atom_site_type_symbol
_atom_site_fract_x
_atom_site_fract_y
_atom_site_fract_z
Ac1 Ac 0.000 0.000 0.000
Sn1 Sn 0.000 0.000 0.698
Sb1 Sb 0.000 0.000 0.314
```

=====

Best to worst by energy: *B*, *C*, *A*.

=====

*A*
A relaxed AcSn2Sb crystal. Source: Alexandria, functional GGA-PBE.

M_tot   0.0 Bohr magnetons per cell
D(E_F)   0.981 states/eV per atom

```
data_AcSn2Sb
_cell_length_a 4.217
_cell_length_b 4.217
_cell_length_c 6.886
_cell_angle_alpha 90.00
_cell_angle_beta 90.00
_cell_angle_gamma 90.00
_symmetry_space_group_name_H-M 'P 4/m m m'
_symmetry_Int_Tables_number 123
_symmetry_space_group_name_Hall '-P 4 2'
loop_
_atom_site_label
_atom_site_type_symbol
_atom_site_fract_x
_atom_site_fract_y
_atom_site_fract_z
Ac1 Ac 0.000 0.000 0.000
Sn1 Sn 0.500 0.500 0.286
Sb1 Sb 0.000 0.000 0.500
```

=====

*B*
A relaxed AcSn2Sb crystal. Source: Alexandria, functional GGA-PBE.

M_tot   0.0 Bohr magnetons per cell
D(E_F)   0.581 states/eV per atom

```
data_AcSn2Sb
_cell_length_a 4.841
_cell_length_b 4.841
_cell_length_c 5.096
_cell_angle_alpha 90.00
_cell_angle_beta 90.00
_cell_angle_gamma 90.00
_symmetry_space_group_name_H-M 'P 4/m m m'
_symmetry_Int_Tables_number 123
_symmetry_space_group_name_Hall '-P 4 2'
loop_
_atom_site_label
_atom_site_type_symbol
_atom_site_fract_x
_atom_site_fract_y
_atom_site_fract_z
Ac1 Ac 0.000 0.000 0.000
Sn1 Sn 0.000 0.500 0.500
Sb1 Sb 0.500 0.500 0.000
```

=====

*C*
A relaxed AcSn2Sb crystal. Source: Alexandria, functional GGA-PBE.

M_tot   0.0 Bohr magnetons per cell
D(E_F)   0.799 states/eV per atom

```
data_AcSn2Sb
_cell_length_a 5.2753
_cell_length_b 5.2753
_cell_length_c 16.1509
_cell_angle_alpha 90.00
_cell_angle_beta 90.00
_cell_angle_gamma 120.00
_symmetry_space_group_name_H-M 'R -3 m'
_symmetry_Int_Tables_number 166
_symmetry_space_group_name_Hall '-R 3 2"'
loop_
_atom_site_label
_atom_site_type_symbol
_atom_site_fract_x
_atom_site_fract_y
_atom_site_fract_z
Ac1 Ac 0.0000 0.0000 0.0000
Sn1 Sn 0.0000 0.0000 0.2148
Sb1 Sb 0.0000 0.0000 0.5000
```

=====

Best to worst by energy: *B*, *A*, *C*.

=====

*A*
A relaxed AcSnSb2 crystal. Source: Alexandria, functional GGA-PBE.

M_tot   0.0 Bohr magnetons per cell
D(E_F)   0.526 states/eV per atom

```
data_AcSnSb2
_cell_length_a 4.613
_cell_length_b 4.613
_cell_length_c 11.940
_cell_angle_alpha 90.00
_cell_angle_beta 90.00
_cell_angle_gamma 90.00
_symmetry_space_group_name_H-M 'P 4/n m m'
_symmetry_Int_Tables_number 129
loop_
_symmetry_equiv_pos_as_xyz
'x,y,z'
'-x,-y,-z'
'-y+1/2,x,z'
'y+1/2,-x,-z'
'-x+1/2,-y+1/2,z'
'x+1/2,y+1/2,-z'
'y,-x+1/2,z'
'-y,x+1/2,-z'
'x+1/2,-y,-z'
'-x+1/2,y,z'
'-y,-x,-z'
'y,x,z'
'-x,y+1/2,-z'
'x,-y+1/2,z'
'y+1/2,x+1/2,-z'
'-y+1/2,-x+1/2,z'
loop_
_atom_site_label
_atom_site_type_symbol
_atom_site_fract_x
_atom_site_fract_y
_atom_site_fract_z
Ac1 Ac 0.250 0.250 0.220
Sn1 Sn 0.250 0.750 0.500
Sb1 Sb 0.250 0.250 0.715
Sb2 Sb 0.250 0.750 0.000
```

=====

*B*
A relaxed AcSnSb2 crystal. Source: Alexandria, functional GGA-PBE.

M_tot   0.0 Bohr magnetons per cell
D(E_F)   0.649 states/eV per atom

```
data_AcSnSb2
_cell_length_a 5.144
_cell_length_b 5.144
_cell_length_c 4.568
_cell_angle_alpha 90.00
_cell_angle_beta 90.00
_cell_angle_gamma 90.00
_symmetry_space_group_name_H-M 'P 4/m m m'
_symmetry_Int_Tables_number 123
_symmetry_space_group_name_Hall '-P 4 2'
loop_
_atom_site_label
_atom_site_type_symbol
_atom_site_fract_x
_atom_site_fract_y
_atom_site_fract_z
Ac1 Ac 0.000 0.000 0.000
Sn1 Sn 0.500 0.500 0.000
Sb1 Sb 0.000 0.500 0.500
```

=====

Best to worst by energy: *B*, *A*.

=====

*A*
A relaxed AcSnSb2 crystal. Source: Alexandria, functional GGA-PBE.

M_tot   0.0 Bohr magnetons per cell
D(E_F)   0.475 states/eV per atom

```
data_AcSnSb2
_cell_length_a 7.962
_cell_length_b 7.962
_cell_length_c 7.951
_cell_angle_alpha 90.00
_cell_angle_beta 90.00
_cell_angle_gamma 90.00
_symmetry_space_group_name_H-M 'I 4/m c m'
_symmetry_Int_Tables_number 140
_symmetry_space_group_name_Hall '-I 4 2c'
loop_
_atom_site_label
_atom_site_type_symbol
_atom_site_fract_x
_atom_site_fract_y
_atom_site_fract_z
Ac1 Ac 0.000 0.000 0.250
Sn1 Sn 0.000 0.500 0.250
Sb1 Sb 0.205 0.295 0.000
```

=====

*B*
A relaxed AcSnSb2 crystal. Source: Alexandria, functional GGA-PBE.

M_tot   0.0 Bohr magnetons per cell
D(E_F)   0.404 states/eV per atom

```
data_AcSnSb2
_cell_length_a 4.322
_cell_length_b 4.322
_cell_length_c 6.654
_cell_angle_alpha 90.00
_cell_angle_beta 90.00
_cell_angle_gamma 90.00
_symmetry_space_group_name_H-M 'P 4/m m m'
_symmetry_Int_Tables_number 123
_symmetry_space_group_name_Hall '-P 4 2'
loop_
_atom_site_label
_atom_site_type_symbol
_atom_site_fract_x
_atom_site_fract_y
_atom_site_fract_z
Ac1 Ac 0.000 0.000 0.000
Sn1 Sn 0.000 0.000 0.500
Sb1 Sb 0.500 0.500 0.265
```

=====

*C*
A relaxed AcSnSb2 crystal. Source: Alexandria, functional GGA-PBE.

M_tot   0.0 Bohr magnetons per cell
D(E_F)   0.340 states/eV per atom

```
data_AcSnSb2
_cell_length_a 5.0285
_cell_length_b 5.0285
_cell_length_c 19.7572
_cell_angle_alpha 90.00
_cell_angle_beta 90.00
_cell_angle_gamma 120.00
_symmetry_space_group_name_H-M 'R 3 m'
_symmetry_Int_Tables_number 160
_symmetry_space_group_name_Hall 'R 3 -2"'
loop_
_atom_site_label
_atom_site_type_symbol
_atom_site_fract_x
_atom_site_fract_y
_atom_site_fract_z
Ac1 Ac 0.0000 0.0000 0.0000
Sn1 Sn 0.0000 0.0000 0.8203
Sb1 Sb 0.0000 0.0000 0.4264
Sb2 Sb 0.0000 0.0000 0.5808
```

=====

Best to worst by energy: *A*, *B*, *C*.

=====

*A*
A relaxed SrAcSb2 crystal. Source: Alexandria, functional GGA-PBE.

M_tot   0.0 Bohr magnetons per cell
D(E_F)   1.236 states/eV per atom

```
data_SrAcSb2
_cell_length_a 4.7938
_cell_length_b 4.7938
_cell_length_c 23.4661
_cell_angle_alpha 90.00
_cell_angle_beta 90.00
_cell_angle_gamma 120.00
_symmetry_space_group_name_H-M 'R -3 m'
_symmetry_Int_Tables_number 166
_symmetry_space_group_name_Hall '-R 3 2"'
loop_
_atom_site_label
_atom_site_type_symbol
_atom_site_fract_x
_atom_site_fract_y
_atom_site_fract_z
Sr1 Sr 0.0000 0.0000 0.0000
Ac1 Ac 0.0000 0.0000 0.5000
Sb1 Sb 0.0000 0.0000 0.2487
```

=====

*B*
A relaxed SrAcSb2 crystal. Source: Alexandria, functional GGA-PBE.

M_tot   0.0 Bohr magnetons per cell
D(E_F)   0.920 states/eV per atom

```
data_SrAcSb2
_cell_length_a 8.169
_cell_length_b 8.169
_cell_length_c 8.169
_cell_angle_alpha 90.00
_cell_angle_beta 90.00
_cell_angle_gamma 90.00
_symmetry_space_group_name_H-M 'F m -3 m'
_symmetry_Int_Tables_number 225
_symmetry_space_group_name_Hall '-F 4 2 3'
loop_
_atom_site_label
_atom_site_type_symbol
_atom_site_fract_x
_atom_site_fract_y
_atom_site_fract_z
Sr1 Sr 0.000 0.000 0.000
Ac1 Ac 0.000 0.000 0.500
Sb1 Sb 0.250 0.250 0.250
```

=====

Best to worst by energy: *A*, *B*.